Entry 1:
VASP calculation (PBE-GGA) on a geometry-optimized KTlCd2Bi2 structure.

Values from the calculation:
- Energy of formation from the pure elements: -0.157 eV per atom
- SG: P-3m1, No. 164
- V: 200 Å³ per cell
- Crystal system: trigonal

abc: 5.192 5.192 8.570
angles: 90.00 90.00 120.00
Element x y z (fractional)
Bi: 0.333 0.667 0.260
Cd: 0.667 0.333 0.339
Cd: 0.333 0.667 0.661
K: 0.000 0.000 0.000
Tl: 0.000 0.000 0.500
Bi: 0.667 0.333 0.740

---

Entry 2:
VASP calculation (PBE-GGA) on a geometry-optimized K2Tl6CdBi structure.

Values from the calculation:
- Energy of formation from the pure elements: 0.007 eV per atom
- SG: R-3m, No. 166
- V: 771 Å³ per cell
- Crystal system: trigonal

abc: 7.955 7.955 14.794
angles: 74.40 74.40 60.00
Element x y z (fractional)
Tl: 0.335 0.923 0.406
Tl: 0.665 0.665 0.594
Tl: 0.923 0.335 0.406
Tl: 0.335 0.335 0.406
Bi: 0.576 0.576 0.271
Tl: 0.077 0.665 0.594
Bi: 0.424 0.424 0.729
Tl: 0.775 0.775 0.077
K: 0.723 0.723 0.832
Tl: 0.225 0.628 0.923
Tl: 0.225 0.225 0.923
Cd: 0.000 0.000 0.000
Tl: 0.628 0.225 0.923
K: 0.277 0.277 0.168
Cd: 0.500 0.500 0.500
Tl: 0.665 0.077 0.594
K: 0.100 0.100 0.699
K: 0.900 0.900 0.301
Tl: 0.372 0.775 0.077
Tl: 0.775 0.372 0.077

---

Entry 3:
VASP calculation (PBE-GGA) on a geometry-optimized K2TlCdBi structure.

Values from the calculation:
- Energy of formation from the pure elements: 0.051 eV per atom
- SG: P4/mmm, No. 123
- V: 237 Å³ per cell
- Crystal system: tetragonal

abc: 6.469 5.662 6.469
angles: 90.00 90.00 90.00
Element x y z (fractional)
Bi: 0.000 0.500 0.000
K: 0.500 0.000 0.000
K: 0.000 0.000 0.500
Cd: 0.000 0.000 0.000
Tl: 0.500 0.500 0.500

---

Entry 4:
VASP calculation (PBE-GGA) on a geometry-optimized K2ZnCd3Bi4 structure.

Values from the calculation:
- Energy of formation from the pure elements: -0.183 eV per atom
- SG: P-4m2, No. 115
- V: 329 Å³ per cell
- Crystal system: tetragonal

abc: 5.212 5.212 12.113
angles: 90.00 90.00 90.00
Element x y z (fractional)
Zn: 0.500 0.500 0.500
K: 0.500 0.000 0.256
Bi: 0.500 0.000 0.622
Bi: 0.000 0.000 0.000
Cd: 0.500 0.000 0.864
Bi: 0.000 0.500 0.378
Cd: 0.000 0.000 0.500
Cd: 0.000 0.500 0.136
K: 0.000 0.500 0.744
Bi: 0.500 0.500 0.000

---

Entry 5:
VASP calculation (PBE-GGA) on a geometry-optimized KZnCdBi2 structure.

Values from the calculation:
- Energy of formation from the pure elements: -0.147 eV per atom
- SG: I-4m2, No. 119
- V: 161 Å³ per cell
- Crystal system: tetragonal

abc: 4.413 4.413 8.841
angles: 104.45 104.45 90.00
Element x y z (fractional)
K: 0.000 0.000 0.000
Cd: 0.250 0.750 0.500
Zn: 0.750 0.250 0.500
Bi: 0.369 0.369 0.737
Bi: 0.631 0.631 0.263

---

Entry 6:
VASP calculation (PBE-GGA) on a geometry-optimized KZnCd2Bi structure.

Values from the calculation:
- Energy of formation from the pure elements: 0.046 eV per atom
- SG: P4/mmm, No. 123
- V: 157 Å³ per cell
- Crystal system: tetragonal

abc: 5.278 5.278 5.624
angles: 90.00 90.00 90.00
Element x y z (fractional)
Cd: 0.000 0.500 0.000
K: 0.500 0.500 0.500
Bi: 0.000 0.000 0.500
Cd: 0.500 0.000 0.000
Zn: 0.000 0.000 0.000